# 1
An optimized crystal structure of Cu2SbBr, computed with PBEsol.

The value obtained for the energy above the most stable polymorph in this dataset is 0 meV/atom.

The structure belongs to space group P4/mmm (No. 123); the cell edges are 3.2345, 3.2345 and 6.9976 Å and the angles 90.00°, 90.00° and 90.00°. The inequivalent atoms are Cu at (0.0000, 0.0000, 0.2407), Sb at (0.5000, 0.5000, 0.0000) and Br at (0.5000, 0.5000, 0.5000).

# 2
An optimized crystal structure of Cu2SbBr, computed with PBEsol.

The value obtained for the energy above the most stable polymorph in this dataset is 259 meV/atom.

The structure belongs to space group I4/mmm (No. 139); the cell edges are 4.3832, 4.3832 and 7.6230 Å and the angles 90.00°, 90.00° and 90.00°. The inequivalent atoms are Cu at (0.0000, 0.5000, 0.2500), Sb at (0.0000, 0.0000, 0.0000) and Br at (0.0000, 0.0000, 0.5000).

# 3
An optimized crystal structure of ScCuSb2Br, computed with PBEsol.

The structure belongs to space group P4/mmm (No. 123); the cell edges are 5.4769, 5.4769 and 4.9821 Å and the angles 90.00°, 90.00° and 90.00°. The inequivalent atoms are Sc at (0.0000, 0.0000, 0.0000), Cu at (0.5000, 0.5000, 0.5000), Sb at (0.0000, 0.5000, 0.0000) and Br at (0.0000, 0.0000, 0.5000).

# 4
An optimized crystal structure of CuSbSe2Br, computed with PBEsol.

The structure belongs to space group P4/mmm (No. 123); the cell edges are 5.2513, 5.2513 and 5.3733 Å and the angles 90.00°, 90.00° and 90.00°. The inequivalent atoms are Cu at (0.0000, 0.0000, 0.0000), Sb at (0.5000, 0.5000, 0.5000), Se at (0.0000, 0.5000, 0.5000) and Br at (0.5000, 0.5000, 0.0000).

# 5
An optimized crystal structure of Sc2CuBr, computed with PBEsol.

The structure belongs to space group P4/mmm (No. 123); the cell edges are 3.2160, 3.2160 and 7.3592 Å and the angles 90.00°, 90.00° and 90.00°. The inequivalent atoms are Sc at (0.0000, 0.0000, 0.2175), Cu at (0.5000, 0.5000, 0.0000) and Br at (0.5000, 0.5000, 0.5000).

# 6
An optimized crystal structure of ScCu2Br, computed with PBEsol.

The structure belongs to space group P4/mmm (No. 123); the cell edges are 3.5432, 3.5432 and 5.3843 Å and the angles 90.00°, 90.00° and 90.00°. The inequivalent atoms are Sc at (0.0000, 0.0000, 0.0000), Cu at (0.5000, 0.5000, 0.2235) and Br at (0.0000, 0.0000, 0.5000).

# 7
An optimized crystal structure of ScCuSeBr2, computed with PBEsol.

The structure belongs to space group P4/mmm (No. 123); the cell edges are 4.7587, 4.7587 and 4.9946 Å and the angles 90.00°, 90.00° and 90.00°. The inequivalent atoms are Sc at (0.0000, 0.0000, 0.0000), Cu at (0.5000, 0.5000, 0.5000), Se at (0.5000, 0.5000, 0.0000) and Br at (0.0000, 0.5000, 0.5000).

# 8
An optimized crystal structure of CuSe2Br, computed with PBEsol.

The value obtained for the energy above the most stable polymorph in this dataset is 827 meV/atom.

The structure belongs to space group Fm-3m (No. 225); the cell edges are 6.6677, 6.6677 and 6.6677 Å and the angles 90.00°, 90.00° and 90.00°. The inequivalent atoms are Cu at (0.0000, 0.0000, 0.0000), Se at (0.2500, 0.2500, 0.2500) and Br at (0.0000, 0.0000, 0.5000).

# 9
An optimized crystal structure of CuSe2Br, computed with PBEsol.

The value obtained for the energy above the most stable polymorph in this dataset is 557 meV/atom.

The structure belongs to space group P4mm (No. 99); the cell edges are 3.0534, 3.0534 and 8.4561 Å and the angles 90.00°, 90.00° and 90.00°. The inequivalent atoms are Cu at (0.0000, 0.0000, 0.0000), Se at (0.0000, 0.0000, 0.4285), Se at (0.5000, 0.5000, 0.1798) and Br at (0.5000, 0.5000, 0.7942).

# 10
An optimized crystal structure of CuSe2Br, computed with PBEsol.

The value obtained for the energy above the most stable polymorph in this dataset is 339 meV/atom.

The structure belongs to space group Cmm2 (No. 35); the cell edges are 3.4672, 6.8576 and 7.6882 Å and the angles 90.00°, 90.00° and 90.00°. The inequivalent atoms are Cu at (0.0000, 0.0000, 0.0000), Se at (0.0000, 0.0000, 0.4590), Se at (0.0000, 0.5000, 0.2218) and Br at (0.0000, 0.5000, 0.7904).

# 11
An optimized crystal structure of CuSe2Br, computed with PBEsol.

The value obtained for the energy above the most stable polymorph in this dataset is 370 meV/atom.

The structure belongs to space group Pmmm (No. 47); the cell edges are 3.1047, 3.4688 and 7.5323 Å and the angles 90.00°, 90.00° and 90.00°. The inequivalent atoms are Cu at (0.0000, 0.0000, 0.0000), Se at (0.5000, 0.5000, 0.1630) and Br at (0.0000, 0.0000, 0.5000).

# 12
An optimized crystal structure of CuSe2Br, computed with PBEsol.

The value obtained for the energy above the most stable polymorph in this dataset is 0 meV/atom.

The structure belongs to space group P2_1/c (No. 14); the cell edges are 7.7791, 4.7502 and 11.8027 Å and the angles 90.00°, 115.22° and 90.00°. The inequivalent atoms are Cu at (0.1852, 0.1347, 0.2490), Se at (0.2996, 0.0243, 0.6542), Se at (0.4199, 0.7084, 0.8420) and Br at (0.0942, 0.1172, 0.8924).

# 13
An optimized crystal structure of CuSnSe2Br, computed with PBEsol.

The structure belongs to space group P4/mmm (No. 123); the cell edges are 5.1926, 5.1926 and 5.3791 Å and the angles 90.00°, 90.00° and 90.00°. The inequivalent atoms are Cu at (0.0000, 0.0000, 0.0000), Sn at (0.5000, 0.5000, 0.5000), Se at (0.0000, 0.5000, 0.5000) and Br at (0.5000, 0.5000, 0.0000).

# 14
An optimized crystal structure of CuTcSeBr2, computed with PBEsol.

The structure belongs to space group P4/mmm (No. 123); the cell edges are 4.7858, 4.7858 and 4.9445 Å and the angles 90.00°, 90.00° and 90.00°. The inequivalent atoms are Cu at (0.0000, 0.0000, 0.0000), Tc at (0.5000, 0.5000, 0.5000), Se at (0.0000, 0.0000, 0.5000) and Br at (0.0000, 0.5000, 0.0000).

# 15
An optimized crystal structure of CuWSeBr2, computed with PBEsol.

The structure belongs to space group P4/mmm (No. 123); the cell edges are 4.7130, 4.7130 and 4.9136 Å and the angles 90.00°, 90.00° and 90.00°. The inequivalent atoms are Cu at (0.0000, 0.0000, 0.0000), W at (0.5000, 0.5000, 0.5000), Se at (0.0000, 0.0000, 0.5000) and Br at (0.0000, 0.5000, 0.0000).

# 16
An optimized crystal structure of YCuSeBr2, computed with PBEsol.

The structure belongs to space group P4/mmm (No. 123); the cell edges are 5.3860, 5.3860 and 5.5011 Å and the angles 90.00°, 90.00° and 90.00°. The inequivalent atoms are Y at (0.0000, 0.0000, 0.0000), Cu at (0.5000, 0.5000, 0.5000), Se at (0.0000, 0.0000, 0.5000) and Br at (0.0000, 0.5000, 0.0000).

# 17
An optimized crystal structure of CuSi2Br, computed with PBEsol.

The value obtained for the energy above the most stable polymorph in this dataset is 0 meV/atom.

The structure belongs to space group Cmmm (No. 65); the cell edges are 4.9743, 9.3606 and 2.9312 Å and the angles 90.00°, 90.00° and 90.00°. The inequivalent atoms are Cu at (0.0000, 0.0000, 0.0000), Si at (0.2500, 0.2500, 0.5000) and Br at (0.0000, 0.5000, 0.0000).

# 18
An optimized crystal structure of CuSiBr, computed with PBEsol.

The value obtained for the energy above the most stable polymorph in this dataset is 0 meV/atom.

The structure belongs to space group I4mm (No. 107); the cell edges are 3.3164, 3.3164 and 10.8099 Å and the angles 90.00°, 90.00° and 90.00°. The inequivalent atoms are Cu at (0.0000, 0.0000, 0.0000), Si at (0.0000, 0.0000, 0.4473) and Br at (0.0000, 0.0000, 0.2345).

# 19
An optimized crystal structure of CuSi2Br, computed with PBEsol.

The value obtained for the energy above the most stable polymorph in this dataset is 79 meV/atom.

The structure belongs to space group Fm-3m (No. 225); the cell edges are 6.4187, 6.4187 and 6.4187 Å and the angles 90.00°, 90.00° and 90.00°. The inequivalent atoms are Cu at (0.0000, 0.0000, 0.0000), Si at (0.2500, 0.2500, 0.2500) and Br at (0.0000, 0.0000, 0.5000).

# 20
An optimized crystal structure of CuSiBr, computed with PBEsol.

The value obtained for the energy above the most stable polymorph in this dataset is 1015 meV/atom.

The structure belongs to space group F-43m (No. 216); the cell edges are 6.3728, 6.3728 and 6.3728 Å and the angles 90.00°, 90.00° and 90.00°. The inequivalent atoms are Cu at (0.0000, 0.0000, 0.0000), Si at (0.0000, 0.0000, 0.5000) and Br at (0.2500, 0.2500, 0.7500).

# 21
An optimized crystal structure of SrCuBr2, computed with PBEsol.

The value obtained for the energy above the most stable polymorph in this dataset is 108 meV/atom.

The structure belongs to space group C2/m (No. 12); the cell edges are 6.8778, 6.8785 and 3.9242 Å and the angles 90.00°, 90.19° and 90.00°. The inequivalent atoms are Sr at (0.0000, 0.0000, 0.0000), Cu at (0.0000, 0.5000, 0.0000) and Br at (0.2500, 0.2500, 0.5000).

# 22
An optimized crystal structure of SrCuBr2, computed with PBEsol.

The value obtained for the energy above the most stable polymorph in this dataset is 0 meV/atom.

The structure belongs to space group Pm (No. 6); the cell edges are 4.3350, 4.1318 and 5.9446 Å and the angles 90.00°, 110.63° and 90.00°. The inequivalent atoms are Sr at (0.0000, 0.0000, 0.0000), Cu at (0.9528, 0.5000, 0.5923), Br at (0.3029, 0.0000, 0.5956) and Br at (0.5802, 0.5000, 0.1585).

# 23
An optimized crystal structure of TaCu2Br, computed with PBEsol.

The value obtained for the energy above the most stable polymorph in this dataset is 263 meV/atom.

The structure belongs to space group Pmmm (No. 47); the cell edges are 2.9666, 4.4095 and 4.6519 Å and the angles 90.00°, 90.00° and 90.00°. The inequivalent atoms are Ta at (0.0000, 0.0000, 0.0000), Cu at (0.0000, 0.5000, 0.5000), Cu at (0.5000, 0.0000, 0.5000) and Br at (0.5000, 0.5000, 0.0000).

# 24
An optimized crystal structure of TaCuBr, computed with PBEsol.

The value obtained for the energy above the most stable polymorph in this dataset is 0 meV/atom.

The structure belongs to space group P3m1 (No. 156); the cell edges are 3.0977, 3.0977 and 6.4448 Å and the angles 90.00°, 90.00° and 120.00°. The inequivalent atoms are Ta at (0.0000, 0.0000, 0.0000), Cu at (0.6667, 0.3333, 0.3026) and Br at (0.3333, 0.6667, 0.6980).

# 25
An optimized crystal structure of TaCu2Br, computed with PBEsol.

The value obtained for the energy above the most stable polymorph in this dataset is 398 meV/atom.

The structure belongs to space group I4/mmm (No. 139); the cell edges are 3.6731, 3.6731 and 9.0063 Å and the angles 90.00°, 90.00° and 90.00°. The inequivalent atoms are Ta at (0.0000, 0.0000, 0.0000), Cu at (0.0000, 0.5000, 0.2500) and Br at (0.0000, 0.0000, 0.5000).

# 26
An optimized crystal structure of TaCu2Br, computed with PBEsol.

The value obtained for the energy above the most stable polymorph in this dataset is 190 meV/atom.

The structure belongs to space group C2/m (No. 12); the cell edges are 10.2561, 2.9473 and 4.4641 Å and the angles 90.00°, 115.69° and 90.00°. The inequivalent atoms are Ta at (0.0000, 0.0000, 0.0000), Cu at (0.2497, 0.0000, 0.7501) and Br at (0.0000, 0.5000, 0.5000).

# 27
An optimized crystal structure of TaCuBr, computed with PBEsol.

The value obtained for the energy above the most stable polymorph in this dataset is 369 meV/atom.

The structure belongs to space group P-6m2 (No. 187); the cell edges are 4.4016, 4.4016 and 2.9914 Å and the angles 90.00°, 90.00° and 120.00°. The inequivalent atoms are Ta at (0.0000, 0.0000, 0.0000), Cu at (0.6667, 0.3333, 0.5000) and Br at (0.3333, 0.6667, 0.0000).

# 28
An optimized crystal structure of TaCu2Br, computed with PBEsol.

The value obtained for the energy above the most stable polymorph in this dataset is 0 meV/atom.

The structure belongs to space group R-3m (No. 166, hexagonal axes); the cell edges are 3.0187, 3.0187 and 24.5924 Å and the angles 90.00°, 90.00° and 120.00°. The inequivalent atoms are Ta at (0.0000, 0.0000, 0.0000), Cu at (0.0000, 0.0000, 0.2494) and Br at (0.0000, 0.0000, 0.5000).

# 29
An optimized crystal structure of CuTcBr3, computed with PBEsol.

The structure belongs to space group Pm-3m (No. 221); the cell edges are 4.9064, 4.9064 and 4.9064 Å and the angles 90.00°, 90.00° and 90.00°. The inequivalent atoms are Cu at (0.0000, 0.0000, 0.0000), Tc at (0.5000, 0.5000, 0.5000) and Br at (0.0000, 0.0000, 0.5000).

# 30
An optimized crystal structure of CuTeBr2, computed with PBEsol.

The structure belongs to space group P4/mmm (No. 123); the cell edges are 5.1691, 5.1691 and 3.3770 Å and the angles 90.00°, 90.00° and 90.00°. The inequivalent atoms are Cu at (0.0000, 0.0000, 0.0000), Te at (0.5000, 0.5000, 0.0000) and Br at (0.0000, 0.5000, 0.5000).

M_tot in μB per formula unit, matching the order above: 0.00, 0.00, 0.00, 0.00, 0.53, 0.00, 0.60, 0.00, 0.00, 0.00, 0.00, 0.00, 0.00, 5.03, 3.82, 0.00, 0.00, 0.00, 0.00, 0.00, 0.00, 0.00, 0.00, 0.00, 0.00, 0.00, 0.00, 0.00, 4.92, 0.00
Raw formation energy in meV per atom, matching the order above: 296, 555, 334, 633, -425, -41, -284, 646, 375, 158, 188, -181, 567, 821, 1149, -499, 674, 59, 753, 1074, -836, -944, 623, 208, 757, 549, 577, 360, 690, 450